Here is a PBEsol-optimized structure of Sr2TlSi from the Alexandria database. Energies are from SCAN.

```
4
Lattice="4.435 0.000 0.000 0.000 2.353 5.918 0.000 -2.353 5.918" Properties=species:S:1:pos:R:3 pbc="T T T"
Sr 0.000 0.000 0.000
Sr 2.218 0.000 3.313
Tl 0.000 0.000 8.382
Si 2.218 0.000 6.676
```

Values from the calculation:
space-group type	Amm2 (38)
formation energy (no corrections)	-0.50	eV/atom
total DFT energy (no corrections)	-2.3693	Ry per atom
Fermi-level density of states	1.1	states/eV/cell
crystal system	orthorhombic